(1)
# GGA-PBE CuReCl, relaxed
# Distance to the lowest polymorph of the same formula ... 0.000 eV/atom
# Crystal system ... trigonal
# Raw formation energy ... 0.5405 eV/atom
data_CuReCl
_cell_length_a 2.9046
_cell_length_b 2.9046
_cell_length_c 6.2552
_cell_angle_alpha 90.00
_cell_angle_beta 90.00
_cell_angle_gamma 120.00
_space_group_name_H-M_alt 'P 1'
_space_group_IT_number 1
loop_
_space_group_symop_operation_xyz
'x,y,z'
loop_
_atom_site_label
_atom_site_type_symbol
_atom_site_fract_x
_atom_site_fract_y
_atom_site_fract_z
_atom_site_occupancy
Re1 Re 0.3333 0.6667 0.6716 1
Cu1 Cu 0.6667 0.3333 0.3552 1
Cl1 Cl 0.0000 0.0000 0.9732 1

***

(2)
# GGA-PBE Pu5InRh4, relaxed
# Crystal system ... tetragonal
# Energy of formation from the pure elements ... -0.380 eV per atom
data_Pu5InRh4
_cell_length_a 3.3676
_cell_length_b 3.3676
_cell_length_c 18.8804
_cell_angle_alpha 90.00
_cell_angle_beta 90.00
_cell_angle_gamma 90.00
_space_group_name_H-M_alt 'P 1'
_space_group_IT_number 1
loop_
_space_group_symop_operation_xyz
'x,y,z'
loop_
_atom_site_label
_atom_site_type_symbol
_atom_site_fract_x
_atom_site_fract_y
_atom_site_fract_z
_atom_site_occupancy
Pu1 Pu 0.5000 0.5000 0.1292 1
Pu2 Pu 0.5000 0.5000 0.3145 1
Pu3 Pu 0.5000 0.5000 0.5000 1
Pu4 Pu 0.5000 0.5000 0.6855 1
Pu5 Pu 0.5000 0.5000 0.8708 1
In1 In 0.0000 0.0000 0.0000 1
Rh1 Rh 0.0000 0.0000 0.2233 1
Rh2 Rh 0.0000 0.0000 0.4069 1
Rh3 Rh 0.0000 0.0000 0.5931 1
Rh4 Rh 0.0000 0.0000 0.7767 1

***

(3)
# GGA-PBE Pt2RhS6, relaxed
# Crystal system ... monoclinic
# Raw formation energy ... -0.3147 eV/atom
data_Pt2RhS6
_cell_length_a 3.5789
_cell_length_b 5.7923
_cell_length_c 10.3282
_cell_angle_alpha 115.24
_cell_angle_beta 90.00
_cell_angle_gamma 107.99
_space_group_name_H-M_alt 'P 1'
_space_group_IT_number 1
loop_
_space_group_symop_operation_xyz
'x,y,z'
loop_
_atom_site_label
_atom_site_type_symbol
_atom_site_fract_x
_atom_site_fract_y
_atom_site_fract_z
_atom_site_occupancy
Pt1 Pt 0.6660 0.3319 0.8328 1
Pt2 Pt 0.3340 0.6681 0.1672 1
Rh1 Rh 0.0000 0.0000 0.5000 1
S1 S 0.0048 0.0096 0.7325 1
S2 S 0.6728 0.3456 0.0696 1
S3 S 0.3272 0.6544 0.9304 1
S4 S 0.6585 0.3171 0.5983 1
S5 S 0.3415 0.6829 0.4017 1
S6 S 0.9952 0.9904 0.2675 1

***

(4)
# GGA-PBE NaNbF3, relaxed
# Distance to the lowest polymorph of the same formula ... 0.000 eV/atom
# Crystal system ... cubic
# Raw formation energy ... -2.0730 eV/atom
data_NaNbF3
_cell_length_a 4.3756
_cell_length_b 4.3756
_cell_length_c 4.3756
_cell_angle_alpha 90.00
_cell_angle_beta 90.00
_cell_angle_gamma 90.00
_space_group_name_H-M_alt 'P 1'
_space_group_IT_number 1
loop_
_space_group_symop_operation_xyz
'x,y,z'
loop_
_atom_site_label
_atom_site_type_symbol
_atom_site_fract_x
_atom_site_fract_y
_atom_site_fract_z
_atom_site_occupancy
Na1 Na 0.5000 0.5000 0.5000 1
Nb1 Nb 0.0000 0.0000 0.0000 1
F1 F 0.0000 0.5000 0.0000 1
F2 F 0.0000 0.0000 0.5000 1
F3 F 0.5000 0.0000 0.0000 1

***

What are the calculated volume values for these records? In order: 46 214 182 84 Å³ per cell.
What are the energy values for these records? In order: -5.5898 -10.7605 -5.2256 -5.4735 eV/atom.
What are the magnetic moment values for these records? In order: 0.0 25.1 0.0 2.8 μB/f.u..